MoPtW2: relaxed, GGA-PBE.

Unit cell a=9.7572 b=9.7572 c=9.7572 alpha=16.35 beta=16.35 gamma=16.35
Last column: nearest neighbours and their distance in Å.
Positions (direct):
Pt (0.7500, 0.7500, 0.7500)  6 Pt 2.78, 3 Mo 2.83, 3 W 2.84
Mo (0.4977, 0.4977, 0.4977)  6 Mo 2.78, 3 Pt 2.83, 3 W 2.95
W (0.0023, 0.0023, 0.0023)  9 W 2.78-2.95, 3 Pt 2.84
W (0.2499, 0.2499, 0.2499)  9 W 2.78-2.95, 3 Mo 2.95

Computed properties:
formation energy from the elements = 15.9 kJ per mole of atoms
final energy = -10.53 eV/atom
Fermi-level density of states = 4.8 states/eV/f.u.
energy above the lowest structure with this stoichiometry = 4.97 kcal/mol of atoms

---

MoPtW2: relaxed, GGA-PBE.

Unit cell a=4.5474 b=2.6995 c=5.2504 alpha=81.96 beta=90.00 gamma=90.00
Last column: nearest neighbours and their distance in Å.
Positions (direct):
W (0.0000, 0.0175, 0.0035)  4 W 2.70-2.78, 2 Mo 2.73, 2 Pt 2.78
W (0.0000, 0.4825, 0.4965)  4 W 2.70-2.78, 2 Mo 2.73, 2 Pt 2.78
Mo (0.5000, 0.2500, 0.2500)  2 Mo 2.70, 4 W 2.73, 2 Pt 2.78
Pt (0.5000, 0.7500, 0.7500)  2 Pt 2.70, 2 Mo 2.78, 4 W 2.78

Computed properties:
formation energy from the elements = 6.2 kJ per mole of atoms
final energy = -10.63 eV/atom
Fermi-level density of states = 3.0 states/eV/f.u.
energy above the lowest structure with this stoichiometry = 2.66 kcal/mol of atoms

---

MoPtW2: relaxed, GGA-PBE.

Unit cell a=4.9001 b=4.9001 c=5.0138 alpha=82.08 beta=82.08 gamma=32.27
Last column: nearest neighbours and their distance in Å.
Positions (direct):
Pt (0.2503, 0.2503, 0.2496)  2 Pt 2.72, 7 W 2.80-2.86, 3 Mo 2.80-2.86
W (0.7494, 0.7494, 0.7488)  5 W 2.72-2.89, 3 Mo 2.77-2.90, 4 Pt 2.85-2.86
W (0.9945, 0.9945, 0.0053)  5 W 2.72-2.89, 3 Pt 2.80-2.85, 4 Mo 2.83-2.88
Mo (0.5058, 0.5058, 0.4962)  2 Mo 2.72, 7 W 2.77-2.90, 3 Pt 2.80-2.86

Computed properties:
formation energy from the elements = 3.7 kJ per mole of atoms
final energy = -10.66 eV/atom
Fermi-level density of states = 3.1 states/eV/f.u.
energy above the lowest structure with this stoichiometry = 2.05 kcal/mol of atoms

---

MoPtW2: relaxed, GGA-PBE.

Unit cell a=9.7559 b=9.7559 c=9.7559 alpha=16.37 beta=16.37 gamma=16.37
Last column: nearest neighbours and their distance in Å.
Positions (direct):
W (0.4975, 0.4975, 0.4975)  6 W 2.78, 3 Pt 2.83, 3 Mo 2.95
W (0.0025, 0.0025, 0.0025)  6 W 2.78, 3 Pt 2.83, 3 Mo 2.95
Mo (0.2500, 0.2500, 0.2500)  6 Mo 2.78, 6 W 2.95
Pt (0.7500, 0.7500, 0.7500)  6 Pt 2.78, 6 W 2.83

Computed properties:
formation energy from the elements = 17.1 kJ per mole of atoms
final energy = -10.52 eV/atom
Fermi-level density of states = 4.0 states/eV/f.u.
energy above the lowest structure with this stoichiometry = 5.26 kcal/mol of atoms

---

Mo2PtW: relaxed, GGA-PBE.

Unit cell a=3.8067 b=3.8067 c=9.8832 alpha=78.90 beta=78.90 gamma=90.00
Last column: nearest neighbours and their distance in Å.
Positions (direct):
Mo (0.1421, 0.6250, 0.2500)  4 Mo 2.60-2.79, 2 W 2.71, 2 Pt 2.76
Mo (0.8750, 0.8579, 0.7500)  4 Mo 2.60-2.79, 2 W 2.71, 2 Pt 2.76
Mo (0.6079, 0.1250, 0.2500)  4 Mo 2.60-2.79, 2 W 2.71, 2 Pt 2.76
Mo (0.3750, 0.3921, 0.7500)  4 Mo 2.60-2.79, 2 W 2.71, 2 Pt 2.76
W (0.2500, 0.7500, 0.5000)  4 Pt 2.69, 4 Mo 2.71
W (0.5000, 0.5000, 0.0000)  4 Pt 2.69, 4 Mo 2.71
Pt (0.0000, 0.0000, 0.0000)  4 W 2.69, 4 Mo 2.76
Pt (0.7500, 0.2500, 0.5000)  4 W 2.69, 4 Mo 2.76

Computed properties:
formation energy from the elements = 64.2 kJ per mole of atoms
final energy = -9.50 eV/atom
Fermi-level density of states = 4.9 states/eV/f.u.

---

MoPtW2: relaxed, GGA-PBE.

Unit cell a=4.5479 b=2.7157 c=5.2401 alpha=81.78 beta=90.00 gamma=90.00
Last column: nearest neighbours and their distance in Å.
Positions (direct):
W (0.0000, 0.9060, 0.0108)  2 Pt 2.67, 2 Mo 2.69-2.86, 4 W 2.72-2.76
W (0.5000, 0.2240, 0.2390)  3 Pt 2.67-2.95, 4 W 2.72-2.76, 2 Mo 2.80
Pt (0.5000, 0.9005, 0.7452)  5 W 2.67-2.95, 2 Pt 2.72, 4 Mo 2.92-2.93
Mo (0.0000, 0.4694, 0.5051)  4 W 2.69-2.86, 2 Mo 2.72, 4 Pt 2.92-2.93

Computed properties:
formation energy from the elements = 1.0 kJ per mole of atoms
final energy = -10.68 eV/atom
Fermi-level density of states = 2.9 states/eV/f.u.
energy above the lowest structure with this stoichiometry = 1.41 kcal/mol of atoms

---

MoPtW2: relaxed, GGA-PBE.

Unit cell a=4.4993 b=4.4993 c=4.4993 alpha=60.00 beta=60.00 gamma=60.00
Last column: nearest neighbours and their distance in Å.
Positions (direct):
W (0.2500, 0.2500, 0.2500)  4 Mo 2.76, 4 W 2.76
W (0.0000, 0.0000, 0.0000)  4 W 2.76, 4 Pt 2.76
Mo (0.5000, 0.5000, 0.5000)  4 W 2.76, 4 Pt 2.76
Pt (0.7500, 0.7500, 0.7500)  4 W 2.76, 4 Mo 2.76

Computed properties:
formation energy from the elements = 20.7 kJ per mole of atoms
final energy = -10.48 eV/atom
Fermi-level density of states = 6.5 states/eV/f.u.
energy above the lowest structure with this stoichiometry = 6.11 kcal/mol of atoms

---

Mo2PtW: relaxed, GGA-PBE.

Unit cell a=4.8957 b=4.8957 c=4.9975 alpha=82.15 beta=82.15 gamma=32.25
Last column: nearest neighbours and their distance in Å.
Positions (direct):
W (0.2500, 0.2500, 0.2500)  2 W 2.72, 6 Mo 2.78-2.89, 4 Pt 2.84
Pt (0.7500, 0.7500, 0.7500)  2 Pt 2.72, 6 Mo 2.80-2.85, 4 W 2.84
Mo (0.0056, 0.0056, 0.9951)  6 Mo 2.72-2.88, 3 W 2.78-2.89, 3 Pt 2.80-2.85
Mo (0.4944, 0.4944, 0.5049)  6 Mo 2.72-2.88, 3 W 2.78-2.89, 3 Pt 2.80-2.85

Computed properties:
formation energy from the elements = 1.4 kJ per mole of atoms
final energy = -10.15 eV/atom
Fermi-level density of states = 3.0 states/eV/f.u.

---

Mo2PtW: relaxed, GGA-PBE.

Unit cell a=2.7012 b=2.7012 c=8.7289 alpha=90.00 beta=90.00 gamma=90.00
Last column: nearest neighbours and their distance in Å.
Positions (direct):
Mo (0.0000, 0.0000, 0.9992)  8 Mo 2.70-2.97, 4 W 2.96
Mo (0.5000, 0.5000, 0.2597)  8 Mo 2.70-2.97, 4 Pt 2.84
Pt (0.0000, 0.0000, 0.5010)  4 Pt 2.70, 4 W 2.83, 4 Mo 2.84
W (0.5000, 0.5000, 0.7400)  4 W 2.70, 4 Pt 2.83, 4 Mo 2.96

Computed properties:
formation energy from the elements = 1.9 kJ per mole of atoms
final energy = -10.14 eV/atom
Fermi-level density of states = 3.5 states/eV/f.u.

---

Mo2PtW: relaxed, GGA-PBE.

Unit cell a=4.8953 b=4.8953 c=4.8953 alpha=132.22 beta=132.18 gamma=69.91
Last column: nearest neighbours and their distance in Å.
Positions (direct):
Pt (0.5000, 0.5000, 0.0000)  8 Mo 2.80-2.82, 4 W 2.82
Mo (0.0000, 0.0000, 0.0000)  4 Pt 2.80, 4 Mo 2.82, 4 W 2.82
Mo (0.7501, 0.2501, 0.5000)  4 W 2.80, 4 Mo 2.82, 4 Pt 2.82
W (0.2499, 0.7499, 0.5000)  8 Mo 2.80-2.82, 4 Pt 2.82

Computed properties:
formation energy from the elements = -2.1 kJ per mole of atoms
final energy = -10.19 eV/atom
Fermi-level density of states = 5.0 states/eV/f.u.

---

ZrMoPt2W: relaxed, GGA-PBE.

Unit cell a=4.8549 b=4.7307 c=4.8549 alpha=90.00 beta=90.00 gamma=90.00
Last column: nearest neighbours and their distance in Å.
Positions (direct):
Pt (0.5000, 0.0000, 0.0000)  2 Zr 2.43
Pt (0.0000, 0.0000, 0.5000)  2 Zr 2.43
W (0.5000, 0.5000, 0.5000)  8 Pt 3.39, 4 Mo 3.43
Zr (0.0000, 0.0000, 0.0000)  2 Mo 2.37, 4 Pt 2.43
Mo (0.0000, 0.5000, 0.0000)  2 Zr 2.37

Computed properties:
formation energy from the elements = 176.3 kJ per mole of atoms
final energy = -7.06 eV/atom
Fermi-level density of states = 5.5 states/eV/f.u.

---

YMo3Pt: relaxed, GGA-PBE.

Unit cell a=4.8494 b=4.8494 c=4.8494 alpha=90.00 beta=90.00 gamma=90.00
Last column: nearest neighbours and their distance in Å.
Positions (direct):
Mo (0.0000, 0.5000, 0.0000)  2 Pt 2.42
Mo (0.0000, 0.0000, 0.5000)  2 Pt 2.42
Mo (0.5000, 0.0000, 0.0000)  2 Pt 2.42
Pt (0.0000, 0.0000, 0.0000)  6 Mo 2.42
Y (0.5000, 0.5000, 0.5000)  12 Mo 3.43

Computed properties:
formation energy from the elements = 118.7 kJ per mole of atoms
final energy = -7.77 eV/atom
Fermi-level density of states = 7.5 states/eV/f.u.
energy above the lowest structure with this stoichiometry = 0.00 kcal/mol of atoms

---

YMo3Pt: relaxed, GGA-PBE.

Unit cell a=4.7064 b=4.7064 c=4.7064 alpha=90.00 beta=90.00 gamma=90.00
Last column: nearest neighbours and their distance in Å.
Positions (direct):
Pt (0.5000, 0.5000, 0.5000)  12 Mo 3.33
Mo (0.5000, 0.0000, 0.0000)  2 Y 2.35
Mo (0.0000, 0.5000, 0.0000)  2 Y 2.35
Mo (0.0000, 0.0000, 0.5000)  2 Y 2.35
Y (0.0000, 0.0000, 0.0000)  6 Mo 2.35

Computed properties:
formation energy from the elements = 237.3 kJ per mole of atoms
final energy = -6.54 eV/atom
Fermi-level density of states = 4.6 states/eV/f.u.
energy above the lowest structure with this stoichiometry = 28.34 kcal/mol of atoms

---

Y4MoPt: relaxed, GGA-PBE.

Unit cell a=5.9593 b=5.9593 c=5.9593 alpha=60.00 beta=60.00 gamma=60.00
Last column: nearest neighbours and their distance in Å.
Positions (direct):
Mo (0.7500, 0.7500, 0.7500)  12 Y 3.49, 4 Pt 3.65
Y (0.3750, 0.8749, 0.3750)  6 Y 2.98
Y (0.8749, 0.3750, 0.3750)  6 Y 2.98
Y (0.3750, 0.3750, 0.3750)  6 Y 2.98
Y (0.3750, 0.3750, 0.8749)  6 Y 2.98
Pt (0.0000, 0.0000, 0.0000)  12 Y 3.49, 4 Mo 3.65

Computed properties:
formation energy from the elements = 74.3 kJ per mole of atoms
final energy = -6.35 eV/atom
Fermi-level density of states = 6.4 states/eV/f.u.

---

YMoPt3: relaxed, GGA-PBE.

Unit cell a=5.0284 b=5.0284 c=5.0284 alpha=90.00 beta=90.00 gamma=90.00
Last column: nearest neighbours and their distance in Å.
Positions (direct):
Mo (0.5000, 0.5000, 0.5000)  12 Pt 3.56
Pt (0.0000, 0.0000, 0.5000)  2 Y 2.51
Pt (0.0000, 0.5000, 0.0000)  2 Y 2.51
Pt (0.5000, 0.0000, 0.0000)  2 Y 2.51
Y (0.0000, 0.0000, 0.0000)  6 Pt 2.51

Computed properties:
formation energy from the elements = 125.2 kJ per mole of atoms
final energy = -5.79 eV/atom
Fermi-level density of states = 4.1 states/eV/f.u.
energy above the lowest structure with this stoichiometry = 26.81 kcal/mol of atoms

---

Y3MoPt: relaxed, GGA-PBE.

Unit cell a=5.3805 b=5.3805 c=5.3805 alpha=90.00 beta=90.00 gamma=90.00
Last column: nearest neighbours and their distance in Å.
Positions (direct):
Y (0.0000, 0.0000, 0.5000)  2 Pt 2.69
Y (0.0000, 0.5000, 0.0000)  2 Pt 2.69
Y (0.5000, 0.0000, 0.0000)  2 Pt 2.69
Mo (0.5000, 0.5000, 0.5000)  12 Y 3.80
Pt (0.0000, 0.0000, 0.0000)  6 Y 2.69

Computed properties:
formation energy from the elements = 28.4 kJ per mole of atoms
final energy = -6.96 eV/atom
Fermi-level density of states = 7.0 states/eV/f.u.
energy above the lowest structure with this stoichiometry = 0.00 kcal/mol of atoms

---

YMo4Pt: relaxed, GGA-PBE.

Unit cell a=5.3425 b=5.3425 c=5.3425 alpha=60.00 beta=60.00 gamma=60.00
Last column: nearest neighbours and their distance in Å.
Positions (direct):
Mo (0.3734, 0.3734, 0.3734)  6 Mo 2.64-2.70
Mo (0.3734, 0.3734, 0.8797)  6 Mo 2.64-2.70
Mo (0.8797, 0.3734, 0.3734)  6 Mo 2.64-2.70
Mo (0.3734, 0.8797, 0.3734)  6 Mo 2.64-2.70
Y (0.0000, 0.0000, 0.0000)  12 Mo 3.13, 4 Pt 3.27
Pt (0.7500, 0.7500, 0.7500)  12 Mo 3.14, 4 Y 3.27

Computed properties:
formation energy from the elements = 14.1 kJ per mole of atoms
final energy = -9.16 eV/atom
Fermi-level density of states = 5.8 states/eV/f.u.

---

YMoPt3: relaxed, GGA-PBE.

Unit cell a=4.8490 b=4.8490 c=4.8490 alpha=90.00 beta=90.00 gamma=90.00
Last column: nearest neighbours and their distance in Å.
Positions (direct):
Pt (0.0000, 0.0000, 0.5000)  2 Mo 2.42
Pt (0.0000, 0.5000, 0.0000)  2 Mo 2.42
Pt (0.5000, 0.0000, 0.0000)  2 Mo 2.42
Mo (0.0000, 0.0000, 0.0000)  6 Pt 2.42
Y (0.5000, 0.5000, 0.5000)  12 Pt 3.43

Computed properties:
formation energy from the elements = 13.0 kJ per mole of atoms
final energy = -6.95 eV/atom
Fermi-level density of states = 3.0 states/eV/f.u.
energy above the lowest structure with this stoichiometry = 0.00 kcal/mol of atoms

---

YMoPt4: relaxed, GGA-PBE.

Unit cell a=5.3427 b=5.3427 c=5.3427 alpha=60.00 beta=60.00 gamma=60.00
Last column: nearest neighbours and their distance in Å.
Positions (direct):
Y (0.7500, 0.7500, 0.7500)  12 Pt 3.13, 4 Mo 3.27
Mo (0.0000, 0.0000, 0.0000)  12 Pt 3.13, 4 Y 3.27
Pt (0.3744, 0.3744, 0.3744)  6 Pt 2.66-2.68
Pt (0.8768, 0.3744, 0.3744)  6 Pt 2.66-2.68
Pt (0.3744, 0.8768, 0.3744)  6 Pt 2.66-2.68
Pt (0.3744, 0.3744, 0.8768)  6 Pt 2.66-2.68

Computed properties:
formation energy from the elements = -38.3 kJ per mole of atoms
final energy = -7.31 eV/atom
Fermi-level density of states = 4.2 states/eV/f.u.

---

Y2MoPt2: relaxed, GGA-PBE.

Unit cell a=6.9014 b=6.9014 c=4.4705 alpha=90.00 beta=90.00 gamma=90.00
Last column: nearest neighbours and their distance in Å.
Positions (direct):
Mo (0.5000, 0.5000, 0.0000)  4 Pt 2.67
Mo (0.0000, 0.0000, 0.0000)  4 Pt 2.67
Pt (0.8612, 0.6388, 0.0000)  2 Mo 2.67, 1 Pt 2.71, 2 Y 2.88
Pt (0.3612, 0.8612, 0.0000)  2 Mo 2.67, 1 Pt 2.71, 2 Y 2.88
Pt (0.1388, 0.3612, 0.0000)  2 Mo 2.67, 1 Pt 2.71, 2 Y 2.88
Pt (0.6388, 0.1388, 0.0000)  2 Mo 2.67, 1 Pt 2.71, 2 Y 2.88
Y (0.8253, 0.3253, 0.5000)  6 Pt 2.88-3.12
Y (0.6747, 0.8253, 0.5000)  6 Pt 2.88-3.12
Y (0.1747, 0.6747, 0.5000)  6 Pt 2.88-3.12
Y (0.3253, 0.1747, 0.5000)  6 Pt 2.88-3.12

Computed properties:
formation energy from the elements = -58.4 kJ per mole of atoms
final energy = -7.77 eV/atom
Fermi-level density of states = 4.9 states/eV/f.u.